# Pm3Cu3Pd2

Crystalline Pm3Cu3Pd2 at its relaxed geometry (PBE, Alexandria).

Lattice parameters (Å, degrees): 5.6558 5.6558 15.3655 90.00 90.00 136.30
Fractional positions:
Pm 0.1001 0.8999 0.5972
Pm 0.1001 0.8999 0.9028
Pm 0.3715 0.6285 0.7500
Pm 0.6285 0.3715 0.2500
Pm 0.8999 0.1001 0.0972
Pm 0.8999 0.1001 0.4028
Cu 0.3448 0.6552 0.2500
Cu 0.3980 0.6020 0.5410
Cu 0.3980 0.6020 0.9590
Cu 0.6020 0.3980 0.0410
Cu 0.6020 0.3980 0.4590
Cu 0.6552 0.3448 0.7500
Pd 0.1984 0.8016 0.1113
Pd 0.1984 0.8016 0.3887
Pd 0.8016 0.1984 0.6113
Pd 0.8016 0.1984 0.8887

- spin magnetization (μB per formula unit) = 0.00
- crystal system = orthorhombic
- N(E_F) (states/eV per cell) = 12.37
- symmetry = Cmcm
- formation energy (eV per atom) = -0.47